No. 1
Computed, not measured: a relaxed TiCr3Bi crystal at the PBE level of DFT.

ΔE_f = 6.1 eV per formula unit
Symmetry = Pm-3m, No. 221
Total magnetic moment = 8.56 μB per formula unit
Crystal system = cubic
E = -34.56 eV per cell

The structure in CIF format:
```
data_TiCr3Bi
_chemical_formula_sum 'Ti1 Cr3 Bi1'
_cell_length_a 4.6501
_cell_length_b 4.6501
_cell_length_c 4.6501
_cell_angle_alpha 90.00
_cell_angle_beta 90.00
_cell_angle_gamma 90.00
_symmetry_space_group_name_H-M 'P 1'
_symmetry_Int_Tables_number 1
_symmetry_space_group_name_Hall 'P 1'
loop_
_atom_site_label
_atom_site_fract_x
_atom_site_fract_y
_atom_site_fract_z
Bi1 0.5000 0.5000 0.5000
Cr1 0.0000 0.0000 0.5000
Cr2 0.5000 0.0000 0.0000
Ti1 0.0000 0.0000 0.0000
Cr3 0.0000 0.5000 0.0000
```


No. 2
Computed, not measured: a relaxed Ti2CrBi crystal at the PBE level of DFT.

ΔE_f = 1.0 eV per formula unit
Symmetry = Fm-3m, No. 225
Total magnetic moment = 0.00 μB per formula unit
Crystal system = cubic
E = -28.31 eV per cell

The structure in CIF format:
```
data_Ti2CrBi
_chemical_formula_sum 'Ti2 Cr1 Bi1'
_cell_length_a 4.6004
_cell_length_b 4.6004
_cell_length_c 4.6004
_cell_angle_alpha 60.00
_cell_angle_beta 60.00
_cell_angle_gamma 60.00
_symmetry_space_group_name_H-M 'P 1'
_symmetry_Int_Tables_number 1
_symmetry_space_group_name_Hall 'P 1'
loop_
_atom_site_label
_atom_site_fract_x
_atom_site_fract_y
_atom_site_fract_z
Ti1 0.7500 0.7500 0.7500
Ti2 0.2500 0.2500 0.2500
Bi1 0.5000 0.5000 0.5000
Cr1 0.0000 0.0000 0.0000
```


No. 3
Computed, not measured: a relaxed Ti2CrBi2 crystal at the PBE level of DFT.

ΔE_f = 5.5 eV per formula unit
Symmetry = I4/mmm, No. 139
Total magnetic moment = 0.00 μB per formula unit
Crystal system = tetragonal
E = -27.72 eV per cell

The structure in CIF format:
```
data_Ti2CrBi2
_chemical_formula_sum 'Ti2 Cr1 Bi2'
_cell_length_a 4.1550
_cell_length_b 4.1550
_cell_length_c 7.4585
_cell_angle_alpha 73.83
_cell_angle_beta 73.83
_cell_angle_gamma 90.00
_symmetry_space_group_name_H-M 'P 1'
_symmetry_Int_Tables_number 1
_symmetry_space_group_name_Hall 'P 1'
loop_
_atom_site_label
_atom_site_fract_x
_atom_site_fract_y
_atom_site_fract_z
Cr1 0.0000 0.0000 0.0000
Bi1 0.2500 0.7500 0.5000
Bi2 0.7500 0.2500 0.5000
Ti1 0.4117 0.4117 0.1767
Ti2 0.5883 0.5883 0.8233
```


No. 4
Computed, not measured: a relaxed Ti3CrBi crystal at the PBE level of DFT.

ΔE_f = 1.9 eV per formula unit
Symmetry = Pm-3m, No. 221
Total magnetic moment = 1.39 μB per formula unit
Crystal system = cubic
E = -35.31 eV per cell

The structure in CIF format:
```
data_Ti3CrBi
_chemical_formula_sum 'Ti3 Cr1 Bi1'
_cell_length_a 4.5996
_cell_length_b 4.5996
_cell_length_c 4.5996
_cell_angle_alpha 90.00
_cell_angle_beta 90.00
_cell_angle_gamma 90.00
_symmetry_space_group_name_H-M 'P 1'
_symmetry_Int_Tables_number 1
_symmetry_space_group_name_Hall 'P 1'
loop_
_atom_site_label
_atom_site_fract_x
_atom_site_fract_y
_atom_site_fract_z
Bi1 0.5000 0.5000 0.5000
Ti1 0.0000 0.5000 0.0000
Ti2 0.0000 0.0000 0.5000
Cr1 0.0000 0.0000 0.0000
Ti3 0.5000 0.0000 0.0000
```


no.,V (Å³/atom)
1,20.1
2,17.2
3,23.7
4,19.5